[1]
First-principles (PBE) data for a relaxed structure of La2NpP3Pt4, as listed in Alexandria.

Calculated values
N(E_F): 9.45 states/eV/cell
Magnetic moment: 4.2 Bohr magnetons per cell
Energy of formation from the pure elements: -0.896 eV/atom

Unit cell a=4.2000 b=4.2000 c=11.2844 alpha=90.00 beta=90.00 gamma=90.00
Fractional positions:
1 La 0.0000 0.5000 0.2224
2 La 0.5000 0.0000 0.7776
3 Np 0.0000 0.0000 0.5000
4 P 0.0000 0.5000 0.8805
5 P 0.5000 0.0000 0.1195
6 P 0.5000 0.5000 0.5000
7 Pt 0.0000 0.0000 0.0000
8 Pt 0.0000 0.5000 0.6713
9 Pt 0.5000 0.0000 0.3287
10 Pt 0.5000 0.5000 0.0000

***

[2]
First-principles (PBE) data for a relaxed structure of CrSb3, as listed in Alexandria.

Calculated values
Formation energy without anion corrections: 0.29 eV/atom
N(E_F): 2.66 states/eV/cell
Magnetic moment: 0.8 Bohr magnetons per cell

Unit cell a=9.6166 b=9.6166 c=9.6166 alpha=20.02 beta=20.02 gamma=20.02
Fractional positions:
1 Cr 0.0000 0.0000 0.0000
2 Sb 0.2679 0.2679 0.2679
3 Sb 0.5000 0.5000 0.5000
4 Sb 0.7321 0.7321 0.7321

***

[3]
First-principles (PBE) data for a relaxed structure of TlSiAg, as listed in Alexandria.

Calculated values
Formation energy without anion corrections: 0.38 eV/atom
N(E_F): 1.07 states/eV/cell
Magnetic moment: 0.0 Bohr magnetons per cell

Unit cell a=4.4129 b=4.4129 c=4.0584 alpha=90.00 beta=90.00 gamma=120.00
Fractional positions:
1 Tl 0.0000 0.0000 0.0000
2 Si 0.3333 0.6667 0.5000
3 Ag 0.6667 0.3333 0.5000

***

[4]
First-principles (PBE) data for a relaxed structure of Zn2Cu2Tc, as listed in Alexandria.

Calculated values
N(E_F): 7.52 states/eV/cell
Magnetic moment: 0.0 Bohr magnetons per cell
Energy of formation from the pure elements: 0.138 eV/atom

Unit cell a=7.1617 b=7.1617 c=2.5959 alpha=90.00 beta=90.00 gamma=90.00
Fractional positions:
1 Zn 0.1295 0.3705 0.0000
2 Zn 0.3705 0.8705 0.0000
3 Zn 0.6295 0.1295 0.0000
4 Zn 0.8705 0.6295 0.0000
5 Cu 0.1693 0.6693 0.5000
6 Cu 0.3307 0.1693 0.5000
7 Cu 0.6693 0.8307 0.5000
8 Cu 0.8307 0.3307 0.5000
9 Tc 0.0000 0.0000 0.0000
10 Tc 0.5000 0.5000 0.0000

***

[5]
First-principles (PBE) data for a relaxed structure of Rb2BaPdO4, as listed in Alexandria.

Calculated values
Formation energy without anion corrections: -0.98 eV/atom
N(E_F): 16.09 states/eV/cell
Magnetic moment: 3.9 Bohr magnetons per cell

Unit cell a=14.1265 b=12.5964 c=8.0244 alpha=83.32 beta=62.33 gamma=34.35
Fractional positions:
1 Rb 0.0727 0.0727 0.6773
2 Rb 0.3227 0.3227 0.9273
3 Rb 0.6773 0.6773 0.0727
4 Rb 0.9273 0.9273 0.3227
5 Ba 0.1250 0.1250 0.1250
6 Ba 0.8750 0.8750 0.8750
7 Pd 0.3750 0.3750 0.3750
8 Pd 0.6250 0.6250 0.6250
9 O 0.0712 0.6696 0.4838
10 O 0.2754 0.4838 0.6696
11 O 0.3304 0.9288 0.7246
12 O 0.4838 0.2754 0.0712
13 O 0.5162 0.7246 0.9288
14 O 0.6696 0.0712 0.2754
15 O 0.7246 0.5162 0.3304
16 O 0.9288 0.3304 0.5162

***

[6]
First-principles (PBE) data for a relaxed structure of CsBi2Pt2, as listed in Alexandria.

Calculated values
N(E_F): 4.50 states/eV/cell
Magnetic moment: 0.0 Bohr magnetons per cell
Energy of formation from the pure elements: -0.006 eV/atom

Unit cell a=9.1659 b=9.1659 c=3.3038 alpha=90.00 beta=90.00 gamma=90.00
Fractional positions:
1 Cs 0.0000 0.0000 0.0000
2 Cs 0.5000 0.5000 0.0000
3 Bi 0.1343 0.3657 0.0000
4 Bi 0.3657 0.8657 0.0000
5 Bi 0.6343 0.1343 0.0000
6 Bi 0.8657 0.6343 0.0000
7 Pt 0.1278 0.6278 0.5000
8 Pt 0.3722 0.1278 0.5000
9 Pt 0.6278 0.8722 0.5000
10 Pt 0.8722 0.3722 0.5000

***

[7]
First-principles (PBE) data for a relaxed structure of AcZn4CuAg2, as listed in Alexandria.

Calculated values
N(E_F): 3.82 states/eV/cell
Magnetic moment: 0.0 Bohr magnetons per cell
Energy of formation from the pure elements: -0.126 eV/atom

Unit cell a=9.5850 b=9.5850 c=9.5850 alpha=26.64 beta=26.64 gamma=26.64
Fractional positions:
1 Ac 0.0000 0.0000 0.0000
2 Zn 0.1368 0.1368 0.1368
3 Zn 0.4079 0.4079 0.4079
4 Zn 0.5921 0.5921 0.5921
5 Zn 0.8632 0.8632 0.8632
6 Cu 0.5000 0.5000 0.5000
7 Ag 0.2367 0.2367 0.2367
8 Ag 0.7633 0.7633 0.7633

***

[8]
First-principles (PBE) data for a relaxed structure of Ti2CrTcH, as listed in Alexandria.

Calculated values
N(E_F): 5.13 states/eV/cell
Raw total energy: -40.3 eV per cell
Magnetic moment: 0.2 Bohr magnetons per cell

Unit cell a=4.3009 b=4.3009 c=3.2553 alpha=90.00 beta=90.00 gamma=90.00
Fractional positions:
1 Ti 0.0000 0.5000 0.0000
2 Ti 0.5000 0.0000 0.0000
3 Cr 0.0000 0.0000 0.5000
4 Tc 0.5000 0.5000 0.5000
5 H 0.0000 0.0000 0.0000